1.
The following is a DFT calculation (PBE-GGA) of an optimized crystal structure of Zn2H2Pd. Values from VASP.

Structure (Quantum ESPRESSO input):
```
&SYSTEM
  ibrav = 0, nat = 10, ntyp = 3
/
ATOMIC_SPECIES
Zn 65.41 Zn.upf
H 1.01 H.upf
Pd 106.42 Pd.upf
ATOMIC_POSITIONS crystal
Zn 0.818 0.318 0.500
H 0.273 0.227 0.000
Pd 0.000 0.000 0.000
Pd 0.500 0.500 0.000
Zn 0.682 0.818 0.500
H 0.773 0.273 0.000
Zn 0.182 0.682 0.500
Zn 0.318 0.182 0.500
H 0.727 0.773 0.000
H 0.227 0.727 0.000
CELL_PARAMETERS angstrom
5.127 0.000 0.000
0.000 5.127 0.000
0.000 0.000 4.172
```

Computed properties:
symmetry = No. 127
energy relative to the lowest polymorph listed for this composition = 0.0000 eV/atom
DOS(E_F) = 1.68 states/eV/cell
E = -2.891 eV per atom


2.
The following is a DFT calculation (PBE-GGA) of an optimized crystal structure of ZnH3Pd3. Values from VASP.

Structure (Quantum ESPRESSO input):
```
&SYSTEM
  ibrav = 0, nat = 14, ntyp = 3
/
ATOMIC_SPECIES
Zn 65.41 Zn.upf
Pd 106.42 Pd.upf
H 1.01 H.upf
ATOMIC_POSITIONS crystal
Zn 0.666 0.666 0.001
Zn 0.334 0.334 0.999
Pd 0.239 0.560 0.301
H 0.793 0.121 0.640
H 0.879 0.555 0.360
Pd 0.440 0.099 0.699
Pd 0.099 0.761 0.699
H 0.121 0.445 0.640
H 0.207 0.879 0.360
Pd 0.901 0.239 0.301
H 0.445 0.793 0.640
Pd 0.560 0.901 0.301
Pd 0.761 0.440 0.699
H 0.555 0.207 0.360
CELL_PARAMETERS angstrom
-0.704 -3.132 -4.138
3.475 -3.775 -1.049
-2.463 -6.453 1.988
```

Computed properties:
symmetry = No. 148
energy relative to the lowest polymorph listed for this composition = 0.0625 eV/atom
DOS(E_F) = 3.10 states/eV/cell
E = -3.974 eV per atom


3.
The following is a DFT calculation (PBE-GGA) of an optimized crystal structure of ZnHPd3. Values from VASP.

Structure (Quantum ESPRESSO input):
```
&SYSTEM
  ibrav = 0, nat = 10, ntyp = 3
/
ATOMIC_SPECIES
H 1.01 H.upf
Pd 106.42 Pd.upf
Zn 65.41 Zn.upf
ATOMIC_POSITIONS crystal
H 0.663 0.905 0.095
Pd 0.953 0.653 0.347
Zn 0.808 0.979 0.021
Pd 0.291 0.736 0.264
Pd 0.413 0.419 0.581
H 0.337 0.095 0.905
Zn 0.192 0.021 0.979
Pd 0.587 0.581 0.419
Pd 0.709 0.264 0.736
Pd 0.047 0.347 0.653
CELL_PARAMETERS angstrom
0.921 14.460 -5.692
3.400 5.207 -3.302
-3.171 -6.248 0.695
```

Computed properties:
symmetry = No. 12
energy relative to the lowest polymorph listed for this composition = 0.1087 eV/atom
DOS(E_F) = 3.78 states/eV/cell
E = -4.243 eV per atom


4.
The following is a DFT calculation (PBE-GGA) of an optimized crystal structure of ZnHPd3. Values from VASP.

Structure (Quantum ESPRESSO input):
```
&SYSTEM
  ibrav = 0, nat = 10, ntyp = 3
/
ATOMIC_SPECIES
Zn 65.41 Zn.upf
Pd 106.42 Pd.upf
H 1.01 H.upf
ATOMIC_POSITIONS crystal
Zn 0.599 0.218 0.319
Pd 0.380 0.108 0.709
Pd 0.380 0.608 0.209
H 0.099 0.915 0.517
Pd 0.819 0.328 0.930
Zn 0.599 0.718 0.819
Pd 0.819 0.828 0.430
H 0.099 0.415 0.017
Pd 0.100 0.468 0.569
Pd 0.100 0.968 0.069
CELL_PARAMETERS angstrom
-6.051 -1.461 4.450
1.867 -3.702 -0.675
3.120 1.078 2.598
```

Computed properties:
symmetry = No. 6
energy relative to the lowest polymorph listed for this composition = 0.0092 eV/atom
DOS(E_F) = 3.02 states/eV/cell
E = -4.342 eV per atom


5.
The following is a DFT calculation (PBE-GGA) of an optimized crystal structure of ZnHPd3. Values from VASP.

Structure (Quantum ESPRESSO input):
```
&SYSTEM
  ibrav = 0, nat = 10, ntyp = 3
/
ATOMIC_SPECIES
Pd 106.42 Pd.upf
H 1.01 H.upf
Zn 65.41 Zn.upf
ATOMIC_POSITIONS crystal
Pd 0.931 0.441 0.559
Pd 0.790 0.327 0.673
Pd 0.069 0.559 0.441
Pd 0.210 0.673 0.327
H 0.052 0.082 0.918
Zn 0.568 0.046 0.954
H 0.948 0.918 0.082
Pd 0.334 0.807 0.193
Pd 0.666 0.193 0.807
Zn 0.432 0.954 0.046
CELL_PARAMETERS angstrom
-10.579 6.246 6.520
-4.019 2.886 -0.738
1.448 -4.324 -2.056
```

Computed properties:
symmetry = No. 12
energy relative to the lowest polymorph listed for this composition = 0.0380 eV/atom
DOS(E_F) = 3.22 states/eV/cell
E = -4.314 eV per atom


6.
The following is a DFT calculation (PBE-GGA) of an optimized crystal structure of ZnHPd3. Values from VASP.

Structure (Quantum ESPRESSO input):
```
&SYSTEM
  ibrav = 0, nat = 20, ntyp = 3
/
ATOMIC_SPECIES
Pd 106.42 Pd.upf
Zn 65.41 Zn.upf
H 1.01 H.upf
ATOMIC_POSITIONS crystal
Pd 0.802 0.258 0.654
Zn 0.953 0.763 0.113
Pd 0.698 0.758 0.846
Zn 0.047 0.237 0.887
Pd 0.585 0.750 0.254
Pd 0.328 0.742 0.993
H 0.866 0.605 0.354
H 0.366 0.895 0.854
Zn 0.547 0.263 0.387
Pd 0.672 0.258 0.007
Pd 0.828 0.758 0.493
H 0.134 0.395 0.646
Pd 0.915 0.250 0.246
Pd 0.085 0.750 0.754
H 0.634 0.105 0.146
Zn 0.453 0.737 0.613
Pd 0.198 0.742 0.346
Pd 0.302 0.242 0.154
Pd 0.415 0.250 0.746
Pd 0.172 0.242 0.507
CELL_PARAMETERS angstrom
17.520 0.000 -2.403
0.000 4.589 0.000
-6.326 0.000 4.014
```

Computed properties:
symmetry = No. 14
energy relative to the lowest polymorph listed for this composition = 0.0426 eV/atom
DOS(E_F) = 6.75 states/eV/cell
E = -4.309 eV per atom


7.
The following is a DFT calculation (PBE-GGA) of an optimized crystal structure of ZnHPd5. Values from VASP.

Structure (Quantum ESPRESSO input):
```
&SYSTEM
  ibrav = 0, nat = 7, ntyp = 3
/
ATOMIC_SPECIES
H 1.01 H.upf
Pd 106.42 Pd.upf
Zn 65.41 Zn.upf
ATOMIC_POSITIONS crystal
H 0.500 0.500 0.000
Pd 0.000 0.500 0.801
Pd 0.500 0.000 0.801
Pd 0.500 0.000 0.199
Pd 0.500 0.500 0.500
Pd 0.000 0.500 0.199
Zn 0.000 0.000 0.500
CELL_PARAMETERS angstrom
3.833 0.000 0.000
0.000 3.836 0.000
0.000 0.000 6.610
```

Computed properties:
symmetry = No. 123
energy relative to the lowest polymorph listed for this composition = 0.0000 eV/atom
DOS(E_F) = 5.76 states/eV/cell
E = -4.407 eV per atom


8.
The following is a DFT calculation (PBE-GGA) of an optimized crystal structure of ZnHPd3. Values from VASP.

Structure (Quantum ESPRESSO input):
```
&SYSTEM
  ibrav = 0, nat = 5, ntyp = 3
/
ATOMIC_SPECIES
Pd 106.42 Pd.upf
H 1.01 H.upf
Zn 65.41 Zn.upf
ATOMIC_POSITIONS crystal
Pd 0.000 0.500 0.000
H 0.500 0.500 0.500
Zn 0.000 0.000 0.000
Pd 0.000 0.000 0.500
Pd 0.500 0.000 0.000
CELL_PARAMETERS angstrom
-4.315 -0.676 1.663
1.795 -1.533 4.033
-0.037 4.362 1.675
```

Computed properties:
symmetry = No. 221
energy relative to the lowest polymorph listed for this composition = 1.3494 eV/atom
DOS(E_F) = 2.39 states/eV/cell
E = -3.002 eV per atom


What is the DOS(E_F) in the eighth record?
2.39 states/eV/cell